Arrangement 1

## Na3Hg6Au (GGA-PBE)

Data for crystalline Na3Hg6Au at its relaxed geometry.

CIF file:
```
data_Na3Hg6Au
_chemical_formula_sum 'Na18 Hg36 Au6'
_symmetry_space_group_name_H-M 'R -3'
_symmetry_Int_Tables_number 148
_symmetry_space_group_name_Hall '-R 3'
_cell_length_a 13.1787
_cell_length_b 13.1787
_cell_length_c 10.0858
_cell_angle_alpha 90.00
_cell_angle_beta 90.00
_cell_angle_gamma 120.00
loop_
_atom_site_label
_atom_site_fract_x
_atom_site_fract_y
_atom_site_fract_z
Na1 0.0466 0.8613 0.2479
Hg1 0.0453 0.8013 0.5593
Hg2 0.0696 0.8197 0.9292
Au1 0.0000 0.0000 0.0000
Au2 0.0000 0.0000 0.5000
```

***

Arrangement 2

## Na3Hg6Au (GGA-PBE)

Data for crystalline Na3Hg6Au at its relaxed geometry.

CIF file:
```
data_Na3Hg6Au
_chemical_formula_sum 'Na6 Hg12 Au2'
_symmetry_space_group_name_H-M 'C 1 2/m 1'
_symmetry_Int_Tables_number 12
_cell_length_a 11.766
_cell_length_b 6.044
_cell_length_c 9.051
_cell_angle_alpha 90.00
_cell_angle_beta 119.97
_cell_angle_gamma 90.00
loop_
_symmetry_equiv_pos_as_xyz
'x,y,z'
'-x,-y,-z'
'-x,y,-z'
'x,-y,z'
'x+1/2,y+1/2,z'
'-x+1/2,-y+1/2,-z'
'-x+1/2,y+1/2,-z'
'x+1/2,-y+1/2,z'
loop_
_atom_site_label
_atom_site_fract_x
_atom_site_fract_y
_atom_site_fract_z
Na1 0.000 0.000 0.000
Na2 0.153 0.000 0.704
Hg1 0.116 0.250 0.335
Hg2 0.197 0.500 0.883
Au1 0.000 0.500 0.500
```

***

Energies in meV/atom, measured from the most stable structure: arrangement 1 0; arrangement 2 34.

***

Arrangement 1

## Na6HgAu2 (GGA-PBE)

Data for crystalline Na6HgAu2 at its relaxed geometry.

CIF file:
```
data_Na6HgAu2
_chemical_formula_sum 'Na12 Hg2 Au4'
_symmetry_space_group_name_H-M 'P 1 21/c 1'
_symmetry_Int_Tables_number 14
_cell_length_a 4.981
_cell_length_b 9.617
_cell_length_c 10.841
_cell_angle_alpha 90.00
_cell_angle_beta 117.35
_cell_angle_gamma 90.00
loop_
_symmetry_equiv_pos_as_xyz
'x,y,z'
'-x,-y,-z'
'-x,y+1/2,-z+1/2'
'x,-y+1/2,z+1/2'
loop_
_atom_site_label
_atom_site_fract_x
_atom_site_fract_y
_atom_site_fract_z
Na1 0.031 0.186 0.029
Na2 0.314 0.029 0.814
Na3 0.368 0.133 0.368
Hg1 0.000 0.000 0.500
Au1 0.299 0.700 0.799
```

***

Arrangement 2

## Na6HgAu2 (GGA-PBE)

Data for crystalline Na6HgAu2 at its relaxed geometry.

CIF file:
```
data_Na6HgAu2
_chemical_formula_sum 'Na24 Hg4 Au8'
_symmetry_space_group_name_H-M 'I m m m'
_symmetry_Int_Tables_number 71
_symmetry_space_group_name_Hall '-I 2 2'
_cell_length_a 9.395
_cell_length_b 9.521
_cell_length_c 11.106
_cell_angle_alpha 90.00
_cell_angle_beta 90.00
_cell_angle_gamma 90.00
loop_
_atom_site_label
_atom_site_fract_x
_atom_site_fract_y
_atom_site_fract_z
Na1 0.000 0.196 0.165
Na2 0.188 0.212 0.500
Na3 0.199 0.500 0.253
Hg1 0.000 0.500 0.000
Hg2 0.000 0.500 0.500
Au1 0.000 0.000 0.373
Au2 0.168 0.000 0.000
```

***

Energies in meV/atom, measured from the most stable structure: arrangement 1 29; arrangement 2 0.

***

Arrangement 1

## Na2Hg4Au (GGA-PBE)

Data for crystalline Na2Hg4Au at its relaxed geometry.

CIF file:
```
data_Na2Hg4Au
_chemical_formula_sum 'Na4 Hg8 Au2'
_symmetry_space_group_name_H-M 'I 4/m m m'
_symmetry_Int_Tables_number 139
_symmetry_space_group_name_Hall '-I 4 2'
_cell_length_a 5.425
_cell_length_b 5.425
_cell_length_c 15.460
_cell_angle_alpha 90.00
_cell_angle_beta 90.00
_cell_angle_gamma 90.00
loop_
_atom_site_label
_atom_site_fract_x
_atom_site_fract_y
_atom_site_fract_z
Na1 0.000 0.000 0.117
Hg1 0.000 0.000 0.310
Hg2 0.000 0.500 0.000
Au1 0.000 0.000 0.500
```

***

Arrangement 2

## Na2Hg4Au (GGA-PBE)

Data for crystalline Na2Hg4Au at its relaxed geometry.

CIF file:
```
data_Na2Hg4Au
_chemical_formula_sum 'Na4 Hg8 Au2'
_symmetry_space_group_name_H-M 'C m m m'
_symmetry_Int_Tables_number 65
_symmetry_space_group_name_Hall '-C 2 2'
_cell_length_a 4.380
_cell_length_b 22.836
_cell_length_c 4.336
_cell_angle_alpha 90.00
_cell_angle_beta 90.00
_cell_angle_gamma 90.00
loop_
_atom_site_label
_atom_site_fract_x
_atom_site_fract_y
_atom_site_fract_z
Na1 0.000 0.086 0.000
Hg1 0.000 0.191 0.500
Hg2 0.000 0.310 0.000
Au1 0.000 0.000 0.500
```

***

Energies in meV/atom, measured from the most stable structure: arrangement 1 0; arrangement 2 9.

***

Arrangement 1

## NaHgSbAu (GGA-PBE)

Data for crystalline NaHgSbAu at its relaxed geometry.

CIF file:
```
data_NaHgSbAu
_chemical_formula_sum 'Na4 Hg4 Sb4 Au4'
_symmetry_space_group_name_H-M 'F -4 3 m'
_symmetry_Int_Tables_number 216
_symmetry_space_group_name_Hall 'F -4 2 3'
_cell_length_a 7.176
_cell_length_b 7.176
_cell_length_c 7.176
_cell_angle_alpha 90.00
_cell_angle_beta 90.00
_cell_angle_gamma 90.00
loop_
_atom_site_label
_atom_site_fract_x
_atom_site_fract_y
_atom_site_fract_z
Na1 0.000 0.000 0.000
Hg1 0.250 0.250 0.750
Sb1 0.000 0.000 0.500
Au1 0.250 0.250 0.250
```

***

Arrangement 2

## NaHgSbAu (GGA-PBE)

Data for crystalline NaHgSbAu at its relaxed geometry.

CIF file:
```
data_NaHgSbAu
_chemical_formula_sum 'Na2 Hg2 Sb2 Au2'
_symmetry_space_group_name_H-M 'C 1 m 1'
_symmetry_Int_Tables_number 8
_cell_length_a 8.155
_cell_length_b 4.698
_cell_length_c 6.110
_cell_angle_alpha 90.00
_cell_angle_beta 116.30
_cell_angle_gamma 90.00
loop_
_symmetry_equiv_pos_as_xyz
'x,y,z'
'x,-y,z'
'x+1/2,y+1/2,z'
'x+1/2,-y+1/2,z'
loop_
_atom_site_label
_atom_site_fract_x
_atom_site_fract_y
_atom_site_fract_z
Na1 0.000 0.000 0.000
Hg1 0.239 0.000 0.715
Sb1 0.445 0.000 0.336
Au1 0.301 0.500 0.405
```

***

Energies in meV/atom, measured from the most stable structure: arrangement 1 75; arrangement 2 0.

***

Arrangement 1

## NaSn2HgAu (GGA-PBE)

Data for crystalline NaSn2HgAu at its relaxed geometry.

CIF file:
```
data_NaSn2HgAu
_chemical_formula_sum 'Na1 Sn2 Hg1 Au1'
_symmetry_space_group_name_H-M 'P 4/m m m'
_symmetry_Int_Tables_number 123
_symmetry_space_group_name_Hall '-P 4 2'
_cell_length_a 5.480
_cell_length_b 5.480
_cell_length_c 5.349
_cell_angle_alpha 90.00
_cell_angle_beta 90.00
_cell_angle_gamma 90.00
loop_
_atom_site_label
_atom_site_fract_x
_atom_site_fract_y
_atom_site_fract_z
Na1 0.000 0.000 0.000
Sn1 0.000 0.500 0.500
Hg1 0.500 0.500 0.000
Au1 0.500 0.500 0.500
```

***

Arrangement 2

## NaSn2HgAu (GGA-PBE)

Data for crystalline NaSn2HgAu at its relaxed geometry.

CIF file:
```
data_NaSn2HgAu
_chemical_formula_sum 'Na1 Sn2 Hg1 Au1'
_symmetry_space_group_name_H-M 'P 4 m m'
_symmetry_Int_Tables_number 99
_cell_length_a 5.280
_cell_length_b 5.280
_cell_length_c 5.961
_cell_angle_alpha 90.00
_cell_angle_beta 90.00
_cell_angle_gamma 90.00
loop_
_symmetry_equiv_pos_as_xyz
'x,y,z'
'-y,x,z'
'-x,-y,z'
'y,-x,z'
'-x,y,z'
'y,x,z'
'x,-y,z'
'-y,-x,z'
loop_
_atom_site_label
_atom_site_fract_x
_atom_site_fract_y
_atom_site_fract_z
Na1 0.000 0.000 0.000
Sn1 0.000 0.500 0.391
Hg1 0.500 0.500 0.139
Au1 0.000 0.000 0.522
```

***

Energies in meV/atom, measured from the most stable structure: arrangement 1 143; arrangement 2 0.

***

Arrangement 1

## Na2TlHgAu (GGA-PBE)

Data for crystalline Na2TlHgAu at its relaxed geometry.

CIF file:
```
data_Na2TlHgAu
_chemical_formula_sum 'Na2 Tl1 Hg1 Au1'
_symmetry_space_group_name_H-M 'P 4/m m m'
_symmetry_Int_Tables_number 123
_symmetry_space_group_name_Hall '-P 4 2'
_cell_length_a 5.512
_cell_length_b 5.512
_cell_length_c 5.349
_cell_angle_alpha 90.00
_cell_angle_beta 90.00
_cell_angle_gamma 90.00
loop_
_atom_site_label
_atom_site_fract_x
_atom_site_fract_y
_atom_site_fract_z
Na1 0.000 0.500 0.000
Tl1 0.000 0.000 0.500
Hg1 0.500 0.500 0.500
Au1 0.500 0.500 0.000
```

***

Arrangement 2

## Na2TlHgAu (GGA-PBE)

Data for crystalline Na2TlHgAu at its relaxed geometry.

CIF file:
```
data_Na2TlHgAu
_chemical_formula_sum 'Na2 Tl1 Hg1 Au1'
_symmetry_space_group_name_H-M 'P 4/m m m'
_symmetry_Int_Tables_number 123
_symmetry_space_group_name_Hall '-P 4 2'
_cell_length_a 5.537
_cell_length_b 5.537
_cell_length_c 5.664
_cell_angle_alpha 90.00
_cell_angle_beta 90.00
_cell_angle_gamma 90.00
loop_
_atom_site_label
_atom_site_fract_x
_atom_site_fract_y
_atom_site_fract_z
Na1 0.000 0.500 0.000
Tl1 0.000 0.000 0.500
Hg1 0.500 0.500 0.500
Au1 0.000 0.000 0.000
```

***

Energies in meV/atom, measured from the most stable structure: arrangement 1 0; arrangement 2 5.